Record 1
## MgGaAu (PBE)

Data for an optimized crystal structure of MgGaAu.

POSCAR file:
```
MgGaAu
1.0
7.6789 0.0000 0.0000
-3.8395 6.6501 0.0000
0.0000 0.0000 3.1794
Mg Ga Au
3 3 3
direct
0.0000 0.2935 0.0000 Mg
0.2935 0.0000 0.0000 Mg
0.7065 0.7065 0.0000 Mg
0.0000 0.0000 0.5000 Ga
0.3333 0.6667 0.0000 Ga
0.6667 0.3333 0.0000 Ga
0.0000 0.6370 0.5000 Au
0.3630 0.3630 0.5000 Au
0.6370 0.0000 0.5000 Au
```

Results
VASP energy ... -25.81 eV per cell

Record 2
## MgGaAu (PBE)

Data for an optimized crystal structure of MgGaAu.

POSCAR file:
```
MgGaAu
1.0
6.8452 0.0000 0.0000
-3.4226 5.9281 0.0000
0.0000 0.0000 4.1489
Mg Ga Au
3 3 3
direct
0.0000 0.5704 0.0000 Mg
0.4296 0.4296 0.0000 Mg
0.5704 0.0000 0.0000 Mg
0.0000 0.0000 0.0000 Ga
0.3333 0.6667 0.5000 Ga
0.6667 0.3333 0.5000 Ga
0.0000 0.2557 0.5000 Au
0.2557 0.0000 0.5000 Au
0.7443 0.7443 0.5000 Au
```

Results
VASP energy ... -26.34 eV per cell

Record 3
## Na4MgGaAu2 (PBE)

Data for an optimized crystal structure of Na4MgGaAu2.

POSCAR file:
```
Na4MgGaAu2
1.0
4.9089 0.0000 0.0000
0.0000 4.9089 0.0000
0.0000 0.0000 6.9729
Na Mg Ga Au
4 1 1 2
direct
0.0000 0.0000 0.0000 Na
0.0000 0.5000 0.7384 Na
0.5000 0.0000 0.2616 Na
0.5000 0.5000 0.5000 Na
0.5000 0.5000 0.0000 Mg
0.0000 0.0000 0.5000 Ga
0.0000 0.5000 0.2536 Au
0.5000 0.0000 0.7464 Au
```

Results
VASP energy ... -17.91 eV per cell

Record 4
## Na2Mg2Ga2PtAu (PBE)

Data for an optimized crystal structure of Na2Mg2Ga2PtAu.

POSCAR file:
```
Na2Mg2Ga2PtAu
1.0
4.6404 0.0000 0.0000
0.0000 4.6404 0.0000
0.0000 0.0000 6.6056
Na Mg Ga Pt Au
2 2 2 1 1
direct
0.0000 0.0000 0.0000 Na
0.5000 0.5000 0.5000 Na
0.0000 0.5000 0.2426 Mg
0.5000 0.0000 0.7574 Mg
0.0000 0.5000 0.7635 Ga
0.5000 0.0000 0.2365 Ga
0.5000 0.5000 0.0000 Pt
0.0000 0.0000 0.5000 Au
```

Results
VASP energy ... -23.86 eV per cell

Record 5
## Na2Mg2ZnGaAu2 (PBE)

Data for an optimized crystal structure of Na2Mg2ZnGaAu2.

POSCAR file:
```
Na2Mg2ZnGaAu2
1.0
4.7000 0.0000 0.0000
0.0000 4.7000 0.0000
0.0000 0.0000 6.6555
Na Mg Zn Ga Au
2 2 1 1 2
direct
0.0000 0.5000 0.2483 Na
0.5000 0.0000 0.7517 Na
0.0000 0.0000 0.0000 Mg
0.5000 0.5000 0.5000 Mg
0.5000 0.5000 0.0000 Zn
0.0000 0.0000 0.5000 Ga
0.0000 0.5000 0.7496 Au
0.5000 0.0000 0.2504 Au
```

Results
VASP energy ... -18.54 eV per cell

Record 6
## Nd3Mg3GaAu2 (PBE)

Data for an optimized crystal structure of Nd3Mg3GaAu2.

POSCAR file:
```
Nd3Mg3GaAu2
1.0
7.6197 0.0000 0.0000
-3.8099 6.5989 0.0000
0.0000 0.0000 4.3879
Nd Mg Ga Au
3 3 1 2
direct
0.0000 0.5853 0.0000 Nd
0.4147 0.4147 0.0000 Nd
0.5853 0.0000 0.0000 Nd
0.0000 0.2413 0.5000 Mg
0.2413 0.0000 0.5000 Mg
0.7587 0.7587 0.5000 Mg
0.0000 0.0000 0.0000 Ga
0.3333 0.6667 0.5000 Au
0.6667 0.3333 0.5000 Au
```

Results
VASP energy ... -33.63 eV per cell

Record 7
## Nd2YMg3Ga2Au (PBE)

Data for an optimized crystal structure of Nd2YMg3Ga2Au.

POSCAR file:
```
Nd2YMg3Ga2Au
1.0
4.4204 0.0000 0.0000
0.0000 6.4607 3.7571
0.0000 -6.4607 3.7571
Nd Y Mg Ga Au
2 1 3 2 1
direct
0.0000 0.2083 0.7917 Nd
0.0000 0.7917 0.2083 Nd
0.0000 0.3750 0.3750 Y
0.5000 0.0351 0.0351 Mg
0.5000 0.5469 0.7887 Mg
0.5000 0.7887 0.5469 Mg
0.5000 0.1286 0.4563 Ga
0.5000 0.4563 0.1286 Ga
0.0000 0.7854 0.7854 Au
```

Results
VASP energy ... -35.18 eV per cell

Record 8
## Mg3Ga3Pd2Au (PBE)

Data for an optimized crystal structure of Mg3Ga3Pd2Au.

POSCAR file:
```
Mg3Ga3Pd2Au
1.0
7.3885 0.0000 0.0000
-3.6943 6.3986 0.0000
0.0000 0.0000 3.3196
Mg Ga Pd Au
3 3 2 1
direct
0.0000 0.6134 0.0000 Mg
0.3866 0.3866 0.0000 Mg
0.6134 0.0000 0.0000 Mg
0.0000 0.2907 0.5000 Ga
0.2907 0.0000 0.5000 Ga
0.7093 0.7093 0.5000 Ga
0.3333 0.6667 0.5000 Pd
0.6667 0.3333 0.5000 Pd
0.0000 0.0000 0.0000 Au
```

Results
VASP energy ... -32.03 eV per cell

VASP energy of number 7 (Nd2YMg3Ga2Au)? -35.18 eV per cell

VASP energy of number 2 (MgGaAu)? -26.34 eV per cell